1.
Material: TbNd3Sc2
Method: DFT, GGA-PBE
State: optimized geometry

As for the magnetization: 0.0 μB per formula unit. For the energy above the most stable polymorph in this dataset, the calculation gives 0.141 eV/atom. For the formation enthalpy at 0 K, the calculation gives 0.264 eV per atom. The density of states at the Fermi level is 1.775 states/eV per atom.

The structure belongs to space group Cmcm (No. 63); the cell edges are 14.523, 9.832 and 5.519 Å and the angles 90.00°, 90.00° and 90.00°. Symmetry generates all atoms from Tb at (0.000, 0.224, 0.250), Nd at (0.000, 0.406, 0.750), Nd at (0.243, 0.367, 0.750) and Sc at (0.103, 0.092, 0.750).

2.
Material: Tb8Nd5Sc
Method: DFT, GGA-PBE
State: optimized geometry

As for the magnetization: 0.0 μB per formula unit. For the formation enthalpy at 0 K, the calculation gives 0.249 eV per atom. The density of states at the Fermi level is 1.403 states/eV per atom.

The structure belongs to space group I-4 (No. 82); the cell edges are 9.633, 9.633 and 10.057 Å and the angles 90.00°, 90.00° and 90.00°. Symmetry generates all atoms from Tb at (0.069, 0.328, 0.409), Tb at (0.084, 0.186, 0.747), Nd at (0.000, 0.000, 0.500), Nd at (0.106, 0.212, 0.080) and Sc at (0.000, 0.500, 0.750).

3.
Material: Tb12Nd2Sc
Method: DFT, GGA-PBE
State: optimized geometry

As for the magnetization: 0.0 μB per formula unit. For the formation enthalpy at 0 K, the calculation gives 0.122 eV per atom. The density of states at the Fermi level is 1.413 states/eV per atom.

The structure belongs to space group C2/m (No. 12); the cell edges are 7.032, 11.348 and 24.568 Å and the angles 90.00°, 97.92° and 90.00°. Symmetry generates all atoms from Tb at (0.071, 0.233, 0.434), Tb at (0.098, 0.244, 0.944), Tb at (0.158, 0.500, 0.078), Tb at (0.159, 0.500, 0.613), Tb at (0.165, 0.000, 0.069), Tb at (0.190, 0.000, 0.644), Tb at (0.209, 0.250, 0.172), Tb at (0.238, 0.273, 0.696), Nd at (0.015, 0.000, 0.776), Nd at (0.018, 0.500, 0.772) and Sc at (0.247, 0.000, 0.514).

4.
Material: Tb3Nd7Sc
Method: DFT, GGA-PBE
State: optimized geometry

As for the magnetization: 0.0 μB per formula unit. For the energy above the most stable polymorph in this dataset, the calculation gives 0.140 eV/atom. For the formation enthalpy at 0 K, the calculation gives 0.226 eV per atom. The density of states at the Fermi level is 1.312 states/eV per atom.

The structure belongs to space group C2/m (No. 12); the cell edges are 12.783, 11.398 and 5.852 Å and the angles 90.00°, 117.23° and 90.00°. Symmetry generates all atoms from Tb at (0.000, 0.000, 0.000), Tb at (0.000, 0.203, 0.500), Nd at (0.000, 0.500, 0.500), Nd at (0.190, 0.212, 0.190), Nd at (0.215, 0.000, 0.714) and Sc at (0.000, 0.500, 0.000).